A plane-wave DFT calculation with PBEsol was carried out for crystalline FeReAu2 at its relaxed geometry.

Summary:
Energy relative to the elements, eV per atom: 0.478
Symmetry: No. 119
Size of the total moment, μB/f.u.: 2.07

abc: 3.952 3.952 7.575
angles: 90.00 90.00 90.00
Fractional coordinates of all 8 atoms:
Fe (0.000, 0.000, 0.000)
Fe (0.500, 0.500, 0.500)
Re (0.000, 0.500, 0.250)
Re (0.500, 0.000, 0.750)
Au (0.000, 0.000, 0.500)
Au (0.000, 0.500, 0.750)
Au (0.500, 0.000, 0.250)
Au (0.500, 0.500, 0.000)